# 1
Density functional theory data (GGA-PBE) for a relaxed MnSbCl2 crystal.

a b c (Å): 3.1408 3.1408 11.5074
angles (deg): 90.00 90.00 90.00
Last column: magnetic moment on the atom in μB.
Element x y z (fractional)
Sb  0.5000  0.5000  0.7500  0.00
Mn  0.5000  0.5000  0.2500  4.38
Cl  0.0000  0.0000  0.1167  0.12
Cl  0.0000  0.0000  0.3833  0.12

Values from the calculation:
Fermi-level density of states, states/eV/atom: 0.2596
E above lowest polymorph, meV/atom: 150

---

# 2
Density functional theory data (GGA-PBE) for a relaxed ScMnSbCl2 crystal.

a b c (Å): 4.5865 6.0996 4.5865
angles (deg): 90.00 90.00 90.00
Last column: magnetic moment on the atom in μB.
Element x y z (fractional)
Sc  0.5000  0.5000  0.5000  0.36
Sb  0.0000  0.5000  0.0000  -0.02
Mn  0.0000  0.0000  0.0000  4.04
Cl  0.0000  0.0000  0.5000  0.05
Cl  0.5000  0.0000  0.0000  0.08

Values from the calculation:
Fermi-level density of states, states/eV/atom: 0.2469
E, eV/atom: -5.114

---

# 3
Density functional theory data (GGA-PBE) for a relaxed Mn2TcSbCl crystal.

a b c (Å): 5.0050 4.9881 5.0050
angles (deg): 90.00 90.00 90.00
Last column: magnetic moment on the atom in μB.
Element x y z (fractional)
Sb  0.0000  0.5000  0.0000  0.05
Mn  0.0000  0.0000  0.5000  4.02
Mn  0.5000  0.0000  0.0000  4.22
Tc  0.0000  0.0000  0.0000  -0.46
Cl  0.5000  0.5000  0.5000  0.12

Values from the calculation:
Fermi-level density of states, states/eV/atom: 0.5924
E, eV/atom: -6.271

---

# 4
Density functional theory data (GGA-PBE) for a relaxed MnSbTe2Cl crystal.

a b c (Å): 5.5397 5.5397 5.1061
angles (deg): 90.00 90.00 90.00
Last column: magnetic moment on the atom in μB.
Element x y z (fractional)
Sb  0.0000  0.0000  0.5000  -0.07
Te  0.0000  0.5000  0.0000  -0.03
Te  0.5000  0.0000  0.0000  -0.03
Mn  0.5000  0.5000  0.5000  4.44
Cl  0.0000  0.0000  0.0000  -0.01

Values from the calculation:
Fermi-level density of states, states/eV/atom: 1.0216
E above lowest polymorph, meV/atom: 742

---

# 5
Density functional theory data (GGA-PBE) for a relaxed MnSb2TeCl crystal.

a b c (Å): 5.1648 5.1648 5.4653
angles (deg): 90.00 90.00 90.00
Last column: magnetic moment on the atom in μB.
Element x y z (fractional)
Sb  0.0000  0.5000  0.0000  0.04
Sb  0.5000  0.0000  0.0000  0.04
Te  0.0000  0.0000  0.5000  0.00
Mn  0.5000  0.5000  0.5000  -0.09
Cl  0.0000  0.0000  0.0000  0.01

Values from the calculation:
Fermi-level density of states, states/eV/atom: 1.5924
E above lowest polymorph, meV/atom: 1320

---

# 6
Density functional theory data (GGA-PBE) for a relaxed MnSbTe2Cl crystal.

a b c (Å): 5.1015 5.1015 5.2212
angles (deg): 90.00 90.00 90.00
Last column: magnetic moment on the atom in μB.
Element x y z (fractional)
Sb  0.0000  0.0000  0.5000  -0.05
Te  0.0000  0.5000  0.0000  0.12
Te  0.5000  0.0000  0.0000  0.12
Mn  0.0000  0.0000  0.0000  2.91
Cl  0.5000  0.5000  0.5000  0.03

Values from the calculation:
Fermi-level density of states, states/eV/atom: 1.0186
E above lowest polymorph, meV/atom: 0